Below is a relaxed structure of K2RbOsO5, with properties calculated at the PBE level.

Raw formation energy = -1.381 eV/atom
Calculated total energy = -5.74 eV per atom
Density of states at the Fermi level = 0.2472 states/eV/atom
Space group = Immm, No. 71

```
K2RbOsO5
1.0
-2.984 -2.479 0.371
0.136 -1.104 -6.283
5.389 -2.848 3.857
O Os K Rb
5 1 2 1
direct
0.391 0.682 0.782 O
0.000 0.000 0.000 O
0.609 0.900 0.218 O
0.609 0.318 0.218 O
0.391 0.100 0.782 O
0.500 0.000 0.000 Os
0.227 0.227 0.455 K
0.773 0.773 0.545 K
0.000 0.500 0.000 Rb
```